# 1
An optimized crystal structure of As2IrRu, computed with GGA-PBE.

- electronic total energy (eV/cell) = -101.20
- ΔE_f (kJ/mol of atoms) = 52

Structure (CIF):
```
data_As2IrRu
_cell_length_a 6.326
_cell_length_b 6.326
_cell_length_c 6.326
_cell_angle_alpha 90.00
_cell_angle_beta 90.00
_cell_angle_gamma 90.00
_symmetry_space_group_name_H-M 'F -4 3 m'
_symmetry_Int_Tables_number 216
_symmetry_space_group_name_Hall 'F -4 2 3'
loop_
_atom_site_label
_atom_site_type_symbol
_atom_site_fract_x
_atom_site_fract_y
_atom_site_fract_z
As1 As 0.000 0.000 0.000
As2 As 0.250 0.250 0.250
Ir1 Ir 0.000 0.000 0.500
Ru1 Ru 0.250 0.250 0.750
```

# 2
An optimized crystal structure of As2IrRu, computed with GGA-PBE.

- electronic total energy (eV/cell) = -108.80
- ΔE_f (kJ/mol of atoms) = 6

Structure (CIF):
```
data_As2IrRu
_cell_length_a 5.512
_cell_length_b 5.512
_cell_length_c 10.947
_cell_angle_alpha 90.00
_cell_angle_beta 90.00
_cell_angle_gamma 90.00
_symmetry_space_group_name_H-M 'I -4 2 d'
_symmetry_Int_Tables_number 122
_symmetry_space_group_name_Hall 'I -4 2bw'
loop_
_atom_site_label
_atom_site_type_symbol
_atom_site_fract_x
_atom_site_fract_y
_atom_site_fract_z
As1 As 0.248 0.250 0.125
Ir1 Ir 0.000 0.000 0.500
Ru1 Ru 0.000 0.000 0.000
```

# 3
An optimized crystal structure of As2IrRu, computed with GGA-PBE.

- electronic total energy (eV/cell) = -52.68
- ΔE_f (kJ/mol of atoms) = 26

Structure (CIF):
```
data_As2IrRu
_cell_length_a 2.829
_cell_length_b 4.913
_cell_length_c 10.151
_cell_angle_alpha 90.00
_cell_angle_beta 90.00
_cell_angle_gamma 90.00
_symmetry_space_group_name_H-M 'C m m 2'
_symmetry_Int_Tables_number 35
loop_
_symmetry_equiv_pos_as_xyz
'x,y,z'
'-x,-y,z'
'-x,y,z'
'x,-y,z'
'x+1/2,y+1/2,z'
'-x+1/2,-y+1/2,z'
'-x+1/2,y+1/2,z'
'x+1/2,-y+1/2,z'
loop_
_atom_site_label
_atom_site_type_symbol
_atom_site_fract_x
_atom_site_fract_y
_atom_site_fract_z
As1 As 0.000 0.000 0.000
As2 As 0.000 0.500 0.359
Ir1 Ir 0.000 0.000 0.568
Ru1 Ru 0.000 0.500 0.799
```

# 4
An optimized crystal structure of AsIrRu2, computed with GGA-PBE.

- electronic total energy (eV/cell) = -31.81
- ΔE_f (kJ/mol of atoms) = 6

Structure (CIF):
```
data_AsIrRu2
_cell_length_a 2.851
_cell_length_b 3.953
_cell_length_c 5.314
_cell_angle_alpha 90.00
_cell_angle_beta 104.02
_cell_angle_gamma 90.00
_symmetry_space_group_name_H-M 'P 1 2/m 1'
_symmetry_Int_Tables_number 10
loop_
_symmetry_equiv_pos_as_xyz
'x,y,z'
'-x,-y,-z'
'-x,y,-z'
'x,-y,z'
loop_
_atom_site_label
_atom_site_type_symbol
_atom_site_fract_x
_atom_site_fract_y
_atom_site_fract_z
As1 As 0.000 0.000 0.000
Ir1 Ir 0.000 0.000 0.500
Ru1 Ru 0.374 0.500 0.244
```

# 5
An optimized crystal structure of AsIrRu2, computed with GGA-PBE.

- electronic total energy (eV/cell) = -121.71
- ΔE_f (kJ/mol of atoms) = 39

Structure (CIF):
```
data_AsIrRu2
_cell_length_a 6.193
_cell_length_b 6.193
_cell_length_c 6.193
_cell_angle_alpha 90.00
_cell_angle_beta 90.00
_cell_angle_gamma 90.00
_symmetry_space_group_name_H-M 'F -4 3 m'
_symmetry_Int_Tables_number 216
_symmetry_space_group_name_Hall 'F -4 2 3'
loop_
_atom_site_label
_atom_site_type_symbol
_atom_site_fract_x
_atom_site_fract_y
_atom_site_fract_z
As1 As 0.000 0.000 0.000
Ir1 Ir 0.250 0.250 0.250
Ru1 Ru 0.000 0.000 0.500
Ru2 Ru 0.250 0.250 0.750
```

# 6
An optimized crystal structure of As2IrRu, computed with GGA-PBE.

- electronic total energy (eV/cell) = -52.88
- ΔE_f (kJ/mol of atoms) = 24

Structure (CIF):
```
data_As2IrRu
_cell_length_a 3.686
_cell_length_b 3.686
_cell_length_c 9.042
_cell_angle_alpha 90.00
_cell_angle_beta 90.00
_cell_angle_gamma 90.00
_symmetry_space_group_name_H-M 'I -4 m 2'
_symmetry_Int_Tables_number 119
_symmetry_space_group_name_Hall 'I -4 -2'
loop_
_atom_site_label
_atom_site_type_symbol
_atom_site_fract_x
_atom_site_fract_y
_atom_site_fract_z
As1 As 0.000 0.000 0.000
As2 As 0.000 0.500 0.250
Ir1 Ir 0.000 0.500 0.750
Ru1 Ru 0.000 0.000 0.500
```

# 7
An optimized crystal structure of AsIrRu2, computed with GGA-PBE.

- electronic total energy (eV/cell) = -62.88
- ΔE_f (kJ/mol of atoms) = 15

Structure (CIF):
```
data_AsIrRu2
_cell_length_a 5.711
_cell_length_b 7.184
_cell_length_c 2.818
_cell_angle_alpha 90.00
_cell_angle_beta 90.00
_cell_angle_gamma 90.00
_symmetry_space_group_name_H-M 'C m m m'
_symmetry_Int_Tables_number 65
_symmetry_space_group_name_Hall '-C 2 2'
loop_
_atom_site_label
_atom_site_type_symbol
_atom_site_fract_x
_atom_site_fract_y
_atom_site_fract_z
As1 As 0.000 0.000 0.000
Ir1 Ir 0.000 0.500 0.000
Ru1 Ru 0.250 0.250 0.500
```

# 8
An optimized crystal structure of AsIrRu3, computed with GGA-PBE.

- electronic total energy (eV/cell) = -32.62
- ΔE_f (kJ/mol of atoms) = 168

Structure (CIF):
```
data_AsIrRu3
_cell_length_a 4.687
_cell_length_b 4.687
_cell_length_c 4.687
_cell_angle_alpha 90.00
_cell_angle_beta 90.00
_cell_angle_gamma 90.00
_symmetry_space_group_name_H-M 'P m -3 m'
_symmetry_Int_Tables_number 221
_symmetry_space_group_name_Hall '-P 4 2 3'
loop_
_atom_site_label
_atom_site_type_symbol
_atom_site_fract_x
_atom_site_fract_y
_atom_site_fract_z
As1 As 0.000 0.000 0.000
Ir1 Ir 0.500 0.500 0.500
Ru1 Ru 0.000 0.500 0.500
```